[1]
VASP calculation (PBE) on crystalline La4SiBr2O at its relaxed geometry.

Cell: 4.083 7.016 7.907 Å, 107.98 90.00 90.00°
Fractional positions:
La 0.500 0.728 0.802
La 0.000 0.292 0.809
Si 0.000 0.000 0.000
La 0.500 0.272 0.198
O 0.500 0.500 0.000
Br 0.500 0.000 0.500
La 0.000 0.708 0.191
Br 0.000 0.500 0.500

* total magnetization: 0.0 μB/f.u.
* calculated total energy: -5.7497 eV per atom

=====

[2]
VASP calculation (PBE) on crystalline La2SmBrO4 at its relaxed geometry.

Cell: 4.071 4.071 9.522 Å, 90.00 90.00 90.00°
Fractional positions:
La 0.500 0.500 0.741
La 0.500 0.500 0.259
O 0.000 0.500 0.149
O 0.500 0.000 0.851
O 0.500 0.000 0.149
Br 0.000 0.000 0.500
O 0.000 0.500 0.851
Sm 0.000 0.000 0.000

* total magnetization: 0.0 μB/f.u.
* calculated total energy: -7.7440 eV per atom

=====

[3]
VASP calculation (PBE) on crystalline LaSn2BrO at its relaxed geometry.

Cell: 4.846 5.288 4.846 Å, 90.00 90.00 90.00°
Fractional positions:
La 0.000 0.500 0.000
Sn 0.000 0.000 0.500
O 0.000 0.000 0.000
Sn 0.500 0.000 0.000
Br 0.500 0.500 0.500

* total magnetization: 0.0 μB/f.u.
* calculated total energy: -4.7611 eV per atom

=====

Raw formation energy readings, ordered: -1.5701, -3.2340, -0.8483 eV per atom
N(E_F) readings, ordered: 3.38, 0.00, 3.26 states/eV/f.u.